Na2FeBiO4: relaxed, PBE with a Hubbard U.

Cell: 5.804 3.304 5.876 Å, 90.00 109.26 90.00°
Space group P2/m (No. 10)
Symmetry-distinct sites (fractional):
Na1 0.000 0.000 0.000 x1
Na2 0.500 0.500 0.000 x1
Fe1 0.000 0.500 0.500 x1
Bi1 0.500 0.000 0.500 x1
O1 0.213 0.000 0.708 x2
O2 0.220 0.500 0.285 x2

For the size of the total moment, the calculation gives 0.627 μB/atom. The calculated total energy is -0.19786 hartree per atom. The value obtained for the density is 5.85 g/cm3.